No. 1
Entry from Alexandria via LeMat-Bulk: an optimized crystal structure of YCdRh (PBE).

Properties
ΔH_f (0 K), eV per formula unit: -1.41

a b c (Å): 6.5936 6.5936 6.5936
angles (deg): 90.00 90.00 90.00
Space group F-43m (No. 216)
One atom of each set of equivalent atoms:
Y  0.0000  0.0000  0.0000 (multiplicity 4)
Cd  0.0000  0.0000  0.5000 (multiplicity 4)
Rh  0.2500  0.2500  0.2500 (multiplicity 4)

---

No. 2
Entry from Alexandria via LeMat-Bulk: an optimized crystal structure of RbCeOF2 (PBE).

Properties
Formation energy from raw total energies, meV/atom: -3165

a b c (Å): 6.7009 6.7009 8.9855
angles (deg): 90.00 90.00 90.00
Space group I4/mcm (No. 140)
One atom of each set of equivalent atoms:
Rb  0.0000  0.5000  0.2500 (multiplicity 4)
Ce  0.0000  0.0000  0.0000 (multiplicity 4)
O  0.0000  0.0000  0.2500 (multiplicity 4)
F  0.1927  0.3073  0.0000 (multiplicity 8)

---

No. 3
Entry from Alexandria via LeMat-Bulk: an optimized crystal structure of Ho3TaB7 (PBE).

Properties
ΔH_f (0 K), eV per formula unit: -6.78

a b c (Å): 3.4969 15.9965 9.5438
angles (deg): 90.00 90.00 90.00
Space group Cmcm (No. 63)
One atom of each set of equivalent atoms:
Ho  0.0000  0.1078  0.0592 (multiplicity 8)
Ho  0.0000  0.2451  0.7500 (multiplicity 4)
Ta  0.0000  0.0532  0.7500 (multiplicity 4)
B  0.0000  0.2733  0.0324 (multiplicity 8)
B  0.0000  0.3647  0.1452 (multiplicity 8)
B  0.0000  0.4540  0.7500 (multiplicity 4)
B  0.0000  0.4807  0.0911 (multiplicity 8)

---

No. 4
Entry from Alexandria via LeMat-Bulk: an optimized crystal structure of HgWI2Cl (PBE).

Properties
Formation energy from raw total energies, meV/atom: 245

a b c (Å): 5.6732 5.6732 4.8927
angles (deg): 90.00 90.00 90.00
Space group P4/mmm (No. 123)
One atom of each set of equivalent atoms:
Hg  0.0000  0.0000  0.0000 (multiplicity 1)
W  0.5000  0.5000  0.5000 (multiplicity 1)
I  0.0000  0.5000  0.5000 (multiplicity 2)
Cl  0.5000  0.5000  0.0000 (multiplicity 1)

---

No. 5
Entry from Alexandria via LeMat-Bulk: an optimized crystal structure of Eu2MgCu (PBE).

Properties
ΔH_f (0 K), eV per formula unit: 1.02

a b c (Å): 3.7881 3.7881 32.5470
angles (deg): 90.00 90.00 120.00
Space group R-3m (No. 166, hexagonal axes)
One atom of each set of equivalent atoms:
Eu  0.0000  0.0000  0.1060 (multiplicity 6)
Mg  0.0000  0.0000  0.0000 (multiplicity 3)
Cu  0.0000  0.0000  0.5000 (multiplicity 3)

---

No. 6
Entry from Alexandria via LeMat-Bulk: an optimized crystal structure of Ir3RuS (PBE).

Properties
Formation energy from raw total energies, meV/atom: 2131

a b c (Å): 4.6984 4.6984 4.6984
angles (deg): 90.00 90.00 90.00
Space group Pm-3m (No. 221)
One atom of each set of equivalent atoms:
Ir  0.0000  0.0000  0.5000 (multiplicity 3)
Ru  0.0000  0.0000  0.0000 (multiplicity 1)
S  0.5000  0.5000  0.5000 (multiplicity 1)

---

No. 7
Entry from Alexandria via LeMat-Bulk: an optimized crystal structure of Dy2SiHPt6 (PBE).

Properties
Energy, eV per cell: -127.002

a b c (Å): 9.7920 5.6529 6.7999
angles (deg): 90.00 118.78 90.00
Space group C2/m (No. 12)
One atom of each set of equivalent atoms:
Dy  0.2160  0.0000  0.1486 (multiplicity 4)
Si  0.0000  0.5000  0.0000 (multiplicity 2)
H  0.0000  0.0000  0.5000 (multiplicity 2)
Pt  0.0172  0.2519  0.3004 (multiplicity 8)
Pt  0.2344  0.0000  0.6991 (multiplicity 4)

---

No. 8
Entry from Alexandria via LeMat-Bulk: an optimized crystal structure of BaZrIr3 (PBE).

Properties
ΔH_f (0 K), eV per formula unit: 3.21

a b c (Å): 5.0225 5.0225 5.0225
angles (deg): 90.00 90.00 90.00
Space group Pm-3m (No. 221)
One atom of each set of equivalent atoms:
Ba  0.0000  0.0000  0.0000 (multiplicity 1)
Zr  0.5000  0.5000  0.5000 (multiplicity 1)
Ir  0.0000  0.5000  0.5000 (multiplicity 3)

---

No. 9
Entry from Alexandria via LeMat-Bulk: an optimized crystal structure of La2Nd2DyEr (PBE).

Properties
ΔH_f (0 K), eV per formula unit: 0.36

a b c (Å): 7.1419 5.7625 10.0085
angles (deg): 90.00 90.00 90.00
Space group Pmma (No. 51)
One atom of each set of equivalent atoms:
La  0.0000  0.0000  0.0000 (multiplicity 2)
La  0.2500  0.5000  0.1660 (multiplicity 2)
Nd  0.2500  0.0000  0.6656 (multiplicity 2)
Nd  0.2500  0.5000  0.8276 (multiplicity 2)
Dy  0.0000  0.5000  0.5000 (multiplicity 2)
Er  0.2500  0.0000  0.3410 (multiplicity 2)

---

No. 10
Entry from Alexandria via LeMat-Bulk: an optimized crystal structure of FeP3W (PBE).

Properties
ΔH_f (0 K), eV per formula unit: 5.30

a b c (Å): 4.2656 4.2656 4.2656
angles (deg): 90.00 90.00 90.00
Space group Pm-3m (No. 221)
One atom of each set of equivalent atoms:
Fe  0.0000  0.0000  0.0000 (multiplicity 1)
P  0.0000  0.0000  0.5000 (multiplicity 3)
W  0.5000  0.5000  0.5000 (multiplicity 1)

---

No. 11
Entry from Alexandria via LeMat-Bulk: an optimized crystal structure of Ca2CdSn2 (PBE).

Properties
ΔH_f (0 K), eV per formula unit: -2.67

a b c (Å): 11.7327 4.8917 11.2756
angles (deg): 90.00 117.61 90.00
Space group C2/m (No. 12)
One atom of each set of equivalent atoms:
Ca  0.0052  0.0000  0.3276 (multiplicity 4)
Ca  0.1772  0.0000  0.0992 (multiplicity 4)
Cd  0.2123  0.5000  0.3481 (multiplicity 4)
Sn  0.0357  0.5000  0.8880 (multiplicity 4)
Sn  0.1395  0.5000  0.5745 (multiplicity 4)

---

No. 12
Entry from Alexandria via LeMat-Bulk: an optimized crystal structure of LiLaP2Cl (PBE).

Properties
Formation energy from raw total energies, meV/atom: -215

a b c (Å): 5.5947 5.5947 5.6053
angles (deg): 90.00 90.00 90.00
Space group P4/mmm (No. 123)
One atom of each set of equivalent atoms:
Li  0.0000  0.0000  0.0000 (multiplicity 1)
La  0.5000  0.5000  0.5000 (multiplicity 1)
P  0.0000  0.5000  0.5000 (multiplicity 2)
Cl  0.5000  0.5000  0.0000 (multiplicity 1)

---

No. 13
Entry from Alexandria via LeMat-Bulk: an optimized crystal structure of LiSc2Te (PBE).

Properties
Formation energy from raw total energies, meV/atom: -557

a b c (Å): 4.0646 3.8464 11.0985
angles (deg): 90.00 90.00 90.00
Space group Amm2 (No. 38)
One atom of each set of equivalent atoms:
Li  0.0000  0.0000  0.0000 (multiplicity 2)
Sc  0.0000  0.0000  0.2609 (multiplicity 2)
Sc  0.5000  0.0000  0.5808 (multiplicity 2)
Te  0.5000  0.0000  0.8524 (multiplicity 2)